Crystalline Sr2FeSi at its relaxed geometry. Source: the Alexandria database, functional PBE.

Properties
calculated volume: 104.7 Å³/cell
uncorrected energy: -4.176 eV/atom

a = 3.418 Å, b = 3.418 Å, c = 8.964 Å
α = 90.00°, β = 90.00°, γ = 90.00°
Fractional coordinates of all 4 atoms:
Sr  0.000  0.000  0.918
Sr  0.500  0.500  0.326
Si  0.500  0.500  0.664
Fe  0.000  0.000  0.591



Crystalline SrFe2Si at its relaxed geometry. Source: the Alexandria database, functional PBE.

Properties
calculated volume: 77.3 Å³/cell
uncorrected energy: -5.882 eV/atom

a = 3.793 Å, b = 3.253 Å, c = 6.458 Å
α = 75.82°, β = 90.00°, γ = 90.00°
Fractional coordinates of all 4 atoms:
Si  0.000  0.353  0.421
Sr  0.500  0.704  0.726
Fe  0.500  0.456  0.206
Fe  0.000  0.987  0.147



Crystalline SrVFe2Si at its relaxed geometry. Source: the Alexandria database, functional PBE.

Properties
calculated volume: 98.0 Å³/cell
uncorrected energy: -3.970 eV/atom

a = 4.349 Å, b = 5.179 Å, c = 4.349 Å
α = 90.00°, β = 90.00°, γ = 90.00°
Fractional coordinates of all 5 atoms:
V  0.500  0.500  0.500
Fe  0.500  0.000  0.000
Fe  0.000  0.000  0.500
Si  0.000  0.500  0.000
Sr  0.000  0.000  0.000



Question: The highest uncorrected energy belongs to which entry?
Answer: SrVFe2Si



Question: Which formula does entry 2 have?
Answer: SrFe2Si



Question: Among the records above, which one has the highest calculated volume?
Answer: Sr2FeSi



Question: Which of these has the highest calculated volume?
Answer: Sr2FeSi